Record 1
# KMgGaCl6

A relaxed KMgGaCl6 crystal (PBE, the Alexandria database).

Computed properties:
- Space-group type: P-31c
- Raw formation energy: -1543.5 meV/atom

a b c (Å): 6.421 6.421 14.053
angles (deg): 90.00 90.00 120.00
Sites, in units of the cell vectors:
K1 0.000 0.000 0.000
K2 0.000 0.000 0.500
Mg1 0.333 0.667 0.250
Mg2 0.667 0.333 0.750
Ga1 0.667 0.333 0.250
Ga2 0.333 0.667 0.750
Cl1 0.636 0.622 0.151
Cl2 0.986 0.364 0.151
Cl3 0.364 0.986 0.651
Cl4 0.014 0.636 0.849
Cl5 0.378 0.364 0.349
Cl6 0.986 0.622 0.349
Cl7 0.622 0.986 0.849
Cl8 0.636 0.014 0.349
Cl9 0.014 0.378 0.651
Cl10 0.378 0.014 0.151
Cl11 0.622 0.636 0.651
Cl12 0.364 0.378 0.849


Record 2
# Sm4SiSe2I

A relaxed Sm4SiSe2I crystal (PBE, the Alexandria database).

Computed properties:
- Space-group type: P2/m
- Raw formation energy: -1338.3 meV/atom

a b c (Å): 4.229 7.274 7.606
angles (deg): 71.10 90.00 90.00
Sites, in units of the cell vectors:
Sm1 0.000 0.767 0.711
Sm2 0.000 0.233 0.289
Sm3 0.500 0.746 0.278
Sm4 0.500 0.254 0.722
Si1 0.000 0.500 0.500
Se1 0.000 0.000 0.000
Se2 0.500 0.000 0.500
I1 0.500 0.500 0.000


Record 3
# Ca2AlSi

A relaxed Ca2AlSi crystal (PBE, the Alexandria database).

Computed properties:
- Space-group type: Imm2
- Raw formation energy: -264.8 meV/atom

a b c (Å): 6.018 6.018 4.894
angles (deg): 66.06 66.06 37.97
Sites, in units of the cell vectors:
Ca1 0.012 0.012 0.988
Ca2 0.228 0.228 0.272
Si1 0.456 0.456 0.544
Al1 0.804 0.804 0.696


Repeat the second record exactly.
# Sm4SiSe2I

A relaxed Sm4SiSe2I crystal (PBE, the Alexandria database).

Computed properties:
- Space-group type: P2/m
- Raw formation energy: -1338.3 meV/atom

a b c (Å): 4.229 7.274 7.606
angles (deg): 71.10 90.00 90.00
Sites, in units of the cell vectors:
Sm1 0.000 0.767 0.711
Sm2 0.000 0.233 0.289
Sm3 0.500 0.746 0.278
Sm4 0.500 0.254 0.722
Si1 0.000 0.500 0.500
Se1 0.000 0.000 0.000
Se2 0.500 0.000 0.500
I1 0.500 0.500 0.000